No. 1
{"formula": "BeRe2Pb", "functional": "PBE-GGA", "state": "relaxed", "spacegroup": "Cm, No. 8", "dft_energy_ev_per_atom": -7.45, "density_g_cm3": 13.72, "dos_at_fermi_per_ev_cell": 4.02, "formation_energy_mev_per_atom": 638, "cell": [[8.098, 0.000, 0.000], [0.000, 3.023, 0.000], [-0.753, 0.000, 5.818]], "species": ["Be", "Be", "Re", "Re", "Re", "Re", "Pb", "Pb"], "fractional_positions": [[0.000, 0.000, 0.000], [0.500, 0.500, 0.000], [0.226, 0.500, 0.123], [0.471, 0.000, 0.311], [0.726, 0.000, 0.123], [0.971, 0.500, 0.311], [0.224, 0.000, 0.663], [0.724, 0.500, 0.663]]}



No. 2
{"formula": "DyH2Rh", "functional": "PBE-GGA", "state": "relaxed", "spacegroup": "Pna2_1, No. 33", "dft_energy_ev_per_atom": -5.27, "density_g_cm3": 9.24, "cell": [[6.196, 0.000, 0.000], [0.000, 6.279, 0.000], [0.000, 0.000, 4.940]], "species": ["Dy", "Dy", "Dy", "Dy", "H", "H", "H", "H", "H", "H", "H", "H", "Rh", "Rh", "Rh", "Rh"], "fractional_positions": [[0.178, 0.128, 0.000], [0.322, 0.628, 0.500], [0.678, 0.372, 0.000], [0.822, 0.872, 0.500], [0.026, 0.442, 0.806], [0.165, 0.113, 0.501], [0.335, 0.613, 0.001], [0.474, 0.942, 0.306], [0.526, 0.058, 0.806], [0.665, 0.387, 0.501], [0.835, 0.887, 0.001], [0.974, 0.558, 0.306], [0.043, 0.690, 0.994], [0.457, 0.190, 0.494], [0.543, 0.810, 0.994], [0.957, 0.310, 0.494]]}



No. 3
{"formula": "ZrSc2Ru", "functional": "PBE-GGA", "state": "relaxed", "spacegroup": "Imm2, No. 44", "dft_energy_ev_per_atom": -7.97, "density_g_cm3": 5.74, "dos_at_fermi_per_ev_cell": 7.00, "formation_energy_mev_per_atom": -352, "cell": [[3.360, 0.000, 0.000], [0.000, 4.922, 0.000], [0.000, 0.000, 9.870]], "species": ["Zr", "Zr", "Sc", "Sc", "Sc", "Sc", "Ru", "Ru"], "fractional_positions": [[0.000, 0.000, 0.000], [0.500, 0.500, 0.500], [0.000, 0.000, 0.417], [0.000, 0.500, 0.210], [0.500, 0.000, 0.710], [0.500, 0.500, 0.917], [0.000, 0.500, 0.706], [0.500, 0.000, 0.206]]}